[1]
VASP calculation (GGA-PBE) on crystalline CrSb2Te at its relaxed geometry.

Computed properties:
E_form (uncorrected): 0.1483 eV/atom
M_tot: 3.1 μB per formula unit
excess energy over the best structure of this formula in the dataset: 52.8 meV per atom
space-group type: No. 160

abc: 3.721 3.721 27.452
angles: 90.00 90.00 120.00
Element x y z (fractional)
Cr: 0.000 0.000 0.000
Cr: 0.333 0.667 0.667
Cr: 0.667 0.333 0.333
Sb: 0.000 0.000 0.483
Sb: 0.000 0.000 0.737
Sb: 0.333 0.667 0.149
Sb: 0.333 0.667 0.404
Sb: 0.667 0.333 0.071
Sb: 0.667 0.333 0.816
Te: 0.000 0.000 0.277
Te: 0.333 0.667 0.944
Te: 0.667 0.333 0.611

[2]
VASP calculation (GGA-PBE) on crystalline NiHgRh2 at its relaxed geometry.

Computed properties:
M_tot: 1.2 μB per formula unit
space-group type: No. 65
energy of formation: 356.5 meV/atom

abc: 2.858 4.765 9.100
angles: 90.00 90.00 90.00
Element x y z (fractional)
Ni: 0.000 0.000 0.000
Ni: 0.500 0.500 0.000
Hg: 0.000 0.000 0.500
Hg: 0.500 0.500 0.500
Rh: 0.000 0.500 0.226
Rh: 0.000 0.500 0.774
Rh: 0.500 0.000 0.226
Rh: 0.500 0.000 0.774

[3]
VASP calculation (GGA-PBE) on crystalline Mg6CoMo at its relaxed geometry.

Computed properties:
M_tot: 1.1 μB per formula unit
excess energy over the best structure of this formula in the dataset: 0.0 meV per atom
space-group type: No. 38
energy of formation: 240.3 meV/atom

abc: 4.679 5.860 10.879
angles: 90.00 90.00 90.00
Element x y z (fractional)
Mg: 0.000 0.000 0.000
Mg: 0.000 0.238 0.257
Mg: 0.000 0.262 0.757
Mg: 0.000 0.500 0.500
Mg: 0.000 0.738 0.757
Mg: 0.000 0.762 0.257
Mg: 0.500 0.000 0.844
Mg: 0.500 0.243 0.596
Mg: 0.500 0.257 0.096
Mg: 0.500 0.500 0.344
Mg: 0.500 0.743 0.096
Mg: 0.500 0.757 0.596
Co: 0.000 0.000 0.475
Co: 0.000 0.500 0.975
Mo: 0.500 0.000 0.365
Mo: 0.500 0.500 0.865

[4]
VASP calculation (GGA-PBE) on crystalline DyZn4Bi at its relaxed geometry.

Computed properties:
M_tot: 0.0 μB per formula unit
space-group type: No. 216
energy of formation: -115.4 meV/atom

abc: 5.548 5.548 5.548
angles: 60.00 60.00 60.00
Element x y z (fractional)
Dy: 0.000 0.000 0.000
Zn: 0.121 0.626 0.626
Zn: 0.626 0.121 0.626
Zn: 0.626 0.626 0.121
Zn: 0.626 0.626 0.626
Bi: 0.250 0.250 0.250

[5]
VASP calculation (GGA-PBE) on crystalline Sm2ScAl2Rh5 at its relaxed geometry.

Computed properties:
M_tot: 0.0 μB per formula unit
space-group type: No. 127
energy of formation: -864.1 meV/atom

abc: 10.121 10.121 3.470
angles: 90.00 90.00 90.00
Element x y z (fractional)
Sm: 0.174 0.326 0.000
Sm: 0.326 0.826 0.000
Sm: 0.674 0.174 0.000
Sm: 0.826 0.674 0.000
Sc: 0.000 0.000 0.000
Sc: 0.500 0.500 0.000
Al: 0.124 0.624 0.000
Al: 0.376 0.124 0.000
Al: 0.624 0.876 0.000
Al: 0.876 0.376 0.000
Rh: 0.000 0.500 0.500
Rh: 0.068 0.790 0.500
Rh: 0.210 0.068 0.500
Rh: 0.290 0.568 0.500
Rh: 0.432 0.290 0.500
Rh: 0.500 0.000 0.500
Rh: 0.568 0.710 0.500
Rh: 0.710 0.432 0.500
Rh: 0.790 0.932 0.500
Rh: 0.932 0.210 0.500

[6]
VASP calculation (GGA-PBE) on crystalline LaZrFe2 at its relaxed geometry.

Computed properties:
M_tot: 2.4 μB per formula unit
space-group type: No. 47
energy of formation: 226.8 meV/atom

abc: 3.293 4.786 4.824
angles: 90.00 90.00 90.00
Element x y z (fractional)
La: 0.000 0.000 0.000
Zr: 0.000 0.500 0.500
Fe: 0.500 0.000 0.500
Fe: 0.500 0.500 0.000

[7]
VASP calculation (GGA-PBE) on crystalline Si2RhCl at its relaxed geometry.

Computed properties:
E_form (uncorrected): -0.1136 eV/atom
M_tot: 0.0 μB per formula unit
excess energy over the best structure of this formula in the dataset: 1.9 meV per atom
space-group type: No. 166

abc: 3.409 3.409 20.821
angles: 90.00 90.00 120.00
Element x y z (fractional)
Si: 0.000 0.000 0.234
Si: 0.000 0.000 0.766
Si: 0.333 0.667 0.433
Si: 0.333 0.667 0.901
Si: 0.667 0.333 0.099
Si: 0.667 0.333 0.567
Rh: 0.000 0.000 0.500
Rh: 0.333 0.667 0.167
Rh: 0.667 0.333 0.833
Cl: 0.000 0.000 0.000
Cl: 0.333 0.667 0.667
Cl: 0.667 0.333 0.333

[8]
VASP calculation (GGA-PBE) on crystalline AgSb2Se at its relaxed geometry.

Computed properties:
E_form (uncorrected): 0.2048 eV/atom
M_tot: 0.0 μB per formula unit
space-group type: No. 47

abc: 3.458 4.818 5.829
angles: 90.00 90.00 90.00
Element x y z (fractional)
Ag: 0.000 0.000 0.000
Sb: 0.000 0.500 0.500
Sb: 0.500 0.500 0.000
Se: 0.500 0.000 0.500

[9]
VASP calculation (GGA-PBE) on crystalline LaZnB at its relaxed geometry.

Computed properties:
M_tot: 0.0 μB per formula unit
excess energy over the best structure of this formula in the dataset: 101.1 meV per atom
space-group type: No. 38
energy of formation: -202.1 meV/atom

abc: 4.814 3.257 15.554
angles: 90.00 90.00 90.00
Element x y z (fractional)
La: 0.000 0.000 0.000
La: 0.000 0.500 0.500
La: 0.500 0.000 0.279
La: 0.500 0.500 0.779
Zn: 0.000 0.000 0.682
Zn: 0.000 0.500 0.182
Zn: 0.500 0.000 0.599
Zn: 0.500 0.500 0.099
B: 0.000 0.000 0.355
B: 0.000 0.000 0.826
B: 0.000 0.500 0.326
B: 0.000 0.500 0.855

[10]
VASP calculation (GGA-PBE) on crystalline P2SBrO at its relaxed geometry.

Computed properties:
E_form (uncorrected): 1.0138 eV/atom
M_tot: 0.0 μB per formula unit
excess energy over the best structure of this formula in the dataset: 312.2 meV per atom
space-group type: No. 123

abc: 4.484 4.484 4.175
angles: 90.00 90.00 90.00
Element x y z (fractional)
P: 0.000 0.500 0.000
P: 0.500 0.000 0.000
S: 0.000 0.000 0.500
Br: 0.500 0.500 0.500
O: 0.000 0.000 0.000

[11]
VASP calculation (GGA-PBE) on crystalline Ba5Pt at its relaxed geometry.

Computed properties:
M_tot: 0.0 μB per formula unit
excess energy over the best structure of this formula in the dataset: 152.6 meV per atom
space-group type: No. 38
energy of formation: -115.6 meV/atom

abc: 6.756 4.473 20.387
angles: 90.00 90.00 90.00
Element x y z (fractional)
Ba: 0.000 0.000 0.000
Ba: 0.000 0.000 0.217
Ba: 0.000 0.500 0.500
Ba: 0.000 0.500 0.717
Ba: 0.500 0.000 0.109
Ba: 0.500 0.000 0.440
Ba: 0.500 0.000 0.777
Ba: 0.500 0.500 0.277
Ba: 0.500 0.500 0.609
Ba: 0.500 0.500 0.940
Pt: 0.000 0.000 0.608
Pt: 0.000 0.500 0.108

[12]
VASP calculation (GGA-PBE) on crystalline KMg6Sn at its relaxed geometry.

Computed properties:
M_tot: 0.0 μB per formula unit
excess energy over the best structure of this formula in the dataset: 11.5 meV per atom
space-group type: No. 38
energy of formation: 84.6 meV/atom

abc: 5.097 7.689 10.805
angles: 90.00 90.00 90.00
Element x y z (fractional)
K: 0.000 0.000 0.000
K: 0.000 0.500 0.500
Mg: 0.000 0.204 0.720
Mg: 0.000 0.296 0.220
Mg: 0.000 0.704 0.220
Mg: 0.000 0.796 0.720
Mg: 0.500 0.000 0.243
Mg: 0.500 0.000 0.780
Mg: 0.500 0.204 0.517
Mg: 0.500 0.296 0.017
Mg: 0.500 0.500 0.280
Mg: 0.500 0.500 0.743
Mg: 0.500 0.704 0.017
Mg: 0.500 0.796 0.517
Sn: 0.000 0.000 0.421
Sn: 0.000 0.500 0.921

Q: Which of these has the highest M_tot?
A: CrSb2Te